[1]
Computed, not measured: a relaxed structure of K3Sc3SbTe8 at the PBE level of DFT.

The structure in CIF format:
```
data_K3Sc3SbTe8
_cell_length_a 14.804
_cell_length_b 8.521
_cell_length_c 9.716
_cell_angle_alpha 90.00
_cell_angle_beta 120.62
_cell_angle_gamma 90.00
_symmetry_space_group_name_H-M 'C 1 2/m 1'
_symmetry_Int_Tables_number 12
loop_
_symmetry_equiv_pos_as_xyz
'x,y,z'
'-x,-y,-z'
'-x,y,-z'
'x,-y,z'
'x+1/2,y+1/2,z'
'-x+1/2,-y+1/2,-z'
'-x+1/2,y+1/2,-z'
'x+1/2,-y+1/2,z'
loop_
_atom_site_label
_atom_site_fract_x
_atom_site_fract_y
_atom_site_fract_z
K1 0.000 0.000 0.000
K2 0.250 0.250 0.000
Sc1 0.000 0.500 0.500
Sc2 0.250 0.250 0.500
Sb1 0.000 0.000 0.500
Te1 0.019 0.259 0.301
Te2 0.233 0.500 0.699
Te3 0.239 0.000 0.700
```

Results
The calculation puts the total magnetic moment at 0.00 μB per cell. For the density of states at the Fermi level, the calculation gives 0.44 states/eV per atom. For the formation energy without anion corrections, the calculation gives -1010 meV/atom. The volume is 35.2 Å³/atom. For the uncorrected energy, the calculation gives -0.327 Ry/atom.

[2]
Computed, not measured: a relaxed structure of K2ZrScSb at the PBE level of DFT.

The structure in CIF format:
```
data_K2ZrScSb
_cell_length_a 6.545
_cell_length_b 6.545
_cell_length_c 5.523
_cell_angle_alpha 90.00
_cell_angle_beta 90.00
_cell_angle_gamma 90.00
_symmetry_space_group_name_H-M 'P 4/m m m'
_symmetry_Int_Tables_number 123
_symmetry_space_group_name_Hall '-P 4 2'
loop_
_atom_site_label
_atom_site_fract_x
_atom_site_fract_y
_atom_site_fract_z
K1 0.000 0.500 0.000
Zr1 0.000 0.000 0.000
Sc1 0.500 0.500 0.500
Sb1 0.000 0.000 0.500
```

Results
The calculation puts the total magnetic moment at 3.87 μB per cell. For the density of states at the Fermi level, the calculation gives 1.41 states/eV per atom. For the formation energy without anion corrections, the calculation gives 990 meV/atom. The volume is 47.3 Å³/atom. For the uncorrected energy, the calculation gives -0.239 Ry/atom.

[3]
Computed, not measured: a relaxed structure of KSb2Se3 at the PBE level of DFT.

The structure in CIF format:
```
data_KSb2Se3
_cell_length_a 15.396
_cell_length_b 6.459
_cell_length_c 9.028
_cell_angle_alpha 90.00
_cell_angle_beta 110.23
_cell_angle_gamma 90.00
_symmetry_space_group_name_H-M 'C 1 2/c 1'
_symmetry_Int_Tables_number 15
loop_
_symmetry_equiv_pos_as_xyz
'x,y,z'
'-x,-y,-z'
'-x,y,-z+1/2'
'x,-y,z+1/2'
'x+1/2,y+1/2,z'
'-x+1/2,-y+1/2,-z'
'-x+1/2,y+1/2,-z+1/2'
'x+1/2,-y+1/2,z+1/2'
loop_
_atom_site_label
_atom_site_fract_x
_atom_site_fract_y
_atom_site_fract_z
K1 0.000 0.051 0.250
Sb1 0.189 0.418 0.875
Se1 0.000 0.459 0.750
Se2 0.173 0.175 0.629
```

Results
The calculation puts the total magnetic moment at 0.00 μB per cell. For the density of states at the Fermi level, the calculation gives 0.07 states/eV per atom. For the formation energy without anion corrections, the calculation gives -394 meV/atom. Its relative energy among the computed polymorphs is 0.0 meV per atom. The volume is 35.1 Å³/atom. For the uncorrected energy, the calculation gives -0.271 Ry/atom.

[4]
Computed, not measured: a relaxed structure of KSb5Se4 at the PBE level of DFT.

The structure in CIF format:
```
data_KSb5Se4
_cell_length_a 11.215
_cell_length_b 12.907
_cell_length_c 4.271
_cell_angle_alpha 90.00
_cell_angle_beta 90.00
_cell_angle_gamma 90.00
_symmetry_space_group_name_H-M 'P m m n'
_symmetry_Int_Tables_number 59
loop_
_symmetry_equiv_pos_as_xyz
'x,y,z'
'-x,-y,-z'
'-x+1/2,-y+1/2,z'
'x+1/2,y+1/2,-z'
'x+1/2,-y,-z'
'-x+1/2,y,z'
'-x,y+1/2,-z'
'x,-y+1/2,z'
loop_
_atom_site_label
_atom_site_fract_x
_atom_site_fract_y
_atom_site_fract_z
K1 0.250 0.250 0.237
Sb1 0.047 0.067 0.753
Sb2 0.250 0.750 0.029
Se1 0.066 0.750 0.627
Se2 0.250 0.524 0.996
```

Results
The calculation puts the total magnetic moment at 0.00 μB per cell. For the density of states at the Fermi level, the calculation gives 0.17 states/eV per atom. For the formation energy without anion corrections, the calculation gives -176 meV/atom. The volume is 30.9 Å³/atom. For the uncorrected energy, the calculation gives -0.275 Ry/atom.

[5]
Computed, not measured: a relaxed structure of KSbSe2 at the PBE level of DFT.

The structure in CIF format:
```
data_KSbSe2
_cell_length_a 3.290
_cell_length_b 5.758
_cell_length_c 6.126
_cell_angle_alpha 90.00
_cell_angle_beta 90.14
_cell_angle_gamma 90.00
_symmetry_space_group_name_H-M 'P 1 m 1'
_symmetry_Int_Tables_number 6
loop_
_symmetry_equiv_pos_as_xyz
'x,y,z'
'x,-y,z'
loop_
_atom_site_label
_atom_site_fract_x
_atom_site_fract_y
_atom_site_fract_z
K1 0.000 0.000 0.000
Sb1 0.501 0.500 0.451
Se1 0.500 0.500 0.032
Se2 0.502 0.000 0.504
```

Results
The calculation puts the total magnetic moment at 0.00 μB per cell. For the density of states at the Fermi level, the calculation gives 0.16 states/eV per atom. For the formation energy without anion corrections, the calculation gives -510 meV/atom. The volume is 29.0 Å³/atom. For the uncorrected energy, the calculation gives -0.261 Ry/atom.

[6]
Computed, not measured: a relaxed structure of K3SbSe3 at the PBE level of DFT.

The structure in CIF format:
```
data_K3SbSe3
_cell_length_a 9.301
_cell_length_b 13.273
_cell_length_c 8.955
_cell_angle_alpha 90.00
_cell_angle_beta 105.25
_cell_angle_gamma 90.00
_symmetry_space_group_name_H-M 'C 1 2/m 1'
_symmetry_Int_Tables_number 12
loop_
_symmetry_equiv_pos_as_xyz
'x,y,z'
'-x,-y,-z'
'-x,y,-z'
'x,-y,z'
'x+1/2,y+1/2,z'
'-x+1/2,-y+1/2,-z'
'-x+1/2,y+1/2,-z'
'x+1/2,-y+1/2,z'
loop_
_atom_site_label
_atom_site_fract_x
_atom_site_fract_y
_atom_site_fract_z
K1 0.000 0.172 0.000
K2 0.000 0.197 0.500
K3 0.166 0.500 0.144
Sb1 0.186 0.500 0.650
Se1 0.024 0.000 0.273
Se2 0.125 0.351 0.807
```

Results
The calculation puts the total magnetic moment at 0.00 μB per cell. For the density of states at the Fermi level, the calculation gives 0.00 states/eV per atom. For the formation energy without anion corrections, the calculation gives -929 meV/atom. The volume is 38.1 Å³/atom. For the uncorrected energy, the calculation gives -0.256 Ry/atom.

[7]
Computed, not measured: a relaxed structure of K4SbSe5 at the PBE level of DFT.

The structure in CIF format:
```
data_K4SbSe5
_cell_length_a 10.359
_cell_length_b 10.359
_cell_length_c 6.782
_cell_angle_alpha 90.00
_cell_angle_beta 90.00
_cell_angle_gamma 90.00
_symmetry_space_group_name_H-M 'I 4'
_symmetry_Int_Tables_number 79
loop_
_symmetry_equiv_pos_as_xyz
'x,y,z'
'-y,x,z'
'-x,-y,z'
'y,-x,z'
'x+1/2,y+1/2,z+1/2'
'-y+1/2,x+1/2,z+1/2'
'-x+1/2,-y+1/2,z+1/2'
'y+1/2,-x+1/2,z+1/2'
loop_
_atom_site_label
_atom_site_fract_x
_atom_site_fract_y
_atom_site_fract_z
K1 0.099 0.291 0.000
Sb1 0.000 0.000 0.416
Se1 0.000 0.000 0.044
Se2 0.071 0.238 0.504
```

Results
The calculation puts the total magnetic moment at 1.77 μB per cell. For the density of states at the Fermi level, the calculation gives 0.30 states/eV per atom. For the formation energy without anion corrections, the calculation gives -744 meV/atom. The volume is 36.4 Å³/atom. For the uncorrected energy, the calculation gives -0.245 Ry/atom.

[8]
Computed, not measured: a relaxed structure of KSbSe2 at the PBE level of DFT.

The structure in CIF format:
```
data_KSbSe2
_cell_length_a 4.2132
_cell_length_b 4.2132
_cell_length_c 23.5979
_cell_angle_alpha 90.00
_cell_angle_beta 90.00
_cell_angle_gamma 120.00
_symmetry_space_group_name_H-M 'R 3 m'
_symmetry_Int_Tables_number 160
_symmetry_space_group_name_Hall 'R 3 -2"'
loop_
_atom_site_label
_atom_site_fract_x
_atom_site_fract_y
_atom_site_fract_z
K1 0.0000 0.0000 0.0000
Sb1 0.0000 0.0000 0.1682
Se1 0.0000 0.0000 0.5704
Se2 0.0000 0.0000 0.7658
```

Results
The calculation puts the total magnetic moment at 0.00 μB per cell. For the formation energy without anion corrections, the calculation gives -681 meV/atom. The volume is 30.2 Å³/atom. For the uncorrected energy, the calculation gives -0.274 Ry/atom.

[9]
Computed, not measured: a relaxed structure of KSbSe2 at the PBE level of DFT.

The structure in CIF format:
```
data_KSbSe2
_cell_length_a 7.188
_cell_length_b 7.188
_cell_length_c 12.978
_cell_angle_alpha 90.00
_cell_angle_beta 90.00
_cell_angle_gamma 90.00
_symmetry_space_group_name_H-M 'I -4 2 d'
_symmetry_Int_Tables_number 122
_symmetry_space_group_name_Hall 'I -4 2bw'
loop_
_atom_site_label
_atom_site_fract_x
_atom_site_fract_y
_atom_site_fract_z
K1 0.000 0.000 0.000
Sb1 0.000 0.000 0.500
Se1 0.183 0.250 0.625
```

Results
The calculation puts the total magnetic moment at 0.00 μB per cell. For the density of states at the Fermi level, the calculation gives 0.00 states/eV per atom. For the formation energy without anion corrections, the calculation gives -542 meV/atom. The volume is 41.9 Å³/atom. For the uncorrected energy, the calculation gives -0.264 Ry/atom.

[10]
Computed, not measured: a relaxed structure of KSb5Se8 at the PBE level of DFT.

The structure in CIF format:
```
data_KSb5Se8
_cell_length_a 21.442
_cell_length_b 4.109
_cell_length_c 10.165
_cell_angle_alpha 90.00
_cell_angle_beta 104.13
_cell_angle_gamma 90.00
_symmetry_space_group_name_H-M 'C 1 m 1'
_symmetry_Int_Tables_number 8
loop_
_symmetry_equiv_pos_as_xyz
'x,y,z'
'x,-y,z'
'x+1/2,y+1/2,z'
'x+1/2,-y+1/2,z'
loop_
_atom_site_label
_atom_site_fract_x
_atom_site_fract_y
_atom_site_fract_z
K1 0.000 0.000 0.000
Sb1 0.001 0.500 0.504
Sb2 0.155 0.000 0.467
Sb3 0.205 0.000 0.846
Sb4 0.296 0.500 0.161
Sb5 0.346 0.500 0.541
Se1 0.077 0.000 0.662
Se2 0.080 0.500 0.310
Se3 0.167 0.500 0.003
Se4 0.232 0.500 0.656
Se5 0.269 0.000 0.352
Se6 0.334 0.000 0.005
Se7 0.421 0.000 0.699
Se8 0.424 0.500 0.347
```

Results
The calculation puts the total magnetic moment at 0.00 μB per cell. For the density of states at the Fermi level, the calculation gives 0.03 states/eV per atom. For the formation energy without anion corrections, the calculation gives -357 meV/atom. The volume is 31.0 Å³/atom. For the uncorrected energy, the calculation gives -0.287 Ry/atom.

[11]
Computed, not measured: a relaxed structure of K2SbSe3 at the PBE level of DFT.

The structure in CIF format:
```
data_K2SbSe3
_cell_length_a 7.917
_cell_length_b 14.937
_cell_length_c 9.088
_cell_angle_alpha 90.00
_cell_angle_beta 117.68
_cell_angle_gamma 90.00
_symmetry_space_group_name_H-M 'P 1 21/c 1'
_symmetry_Int_Tables_number 14
loop_
_symmetry_equiv_pos_as_xyz
'x,y,z'
'-x,-y,-z'
'-x,y+1/2,-z+1/2'
'x,-y+1/2,z+1/2'
loop_
_atom_site_label
_atom_site_fract_x
_atom_site_fract_y
_atom_site_fract_z
K1 0.125 0.155 0.451
K2 0.293 0.576 0.579
Sb1 0.466 0.664 0.228
Se1 0.181 0.136 0.114
Se2 0.282 0.523 0.211
Se3 0.375 0.724 0.905
```

Results
The calculation puts the total magnetic moment at 0.00 μB per cell. For the density of states at the Fermi level, the calculation gives 0.25 states/eV per atom. For the formation energy without anion corrections, the calculation gives -761 meV/atom. Its relative energy among the computed polymorphs is 0.0 meV per atom. The volume is 39.7 Å³/atom. For the uncorrected energy, the calculation gives -0.261 Ry/atom.

[12]
Computed, not measured: a relaxed structure of K2SbSe2 at the PBE level of DFT.

The structure in CIF format:
```
data_K2SbSe2
_cell_length_a 8.011
_cell_length_b 8.011
_cell_length_c 4.724
_cell_angle_alpha 90.00
_cell_angle_beta 90.00
_cell_angle_gamma 90.00
_symmetry_space_group_name_H-M 'P 4/m b m'
_symmetry_Int_Tables_number 127
_symmetry_space_group_name_Hall '-P 4 2ab'
loop_
_atom_site_label
_atom_site_fract_x
_atom_site_fract_y
_atom_site_fract_z
K1 0.138 0.362 0.000
Sb1 0.000 0.000 0.500
Se1 0.177 0.677 0.500
```

Results
The calculation puts the total magnetic moment at 0.00 μB per cell. For the density of states at the Fermi level, the calculation gives 0.32 states/eV per atom. For the formation energy without anion corrections, the calculation gives -687 meV/atom. Its relative energy among the computed polymorphs is 40.0 meV per atom. The volume is 30.3 Å³/atom. For the uncorrected energy, the calculation gives -0.246 Ry/atom.

Please write out number 3 again, unchanged.
Computed, not measured: a relaxed structure of KSb2Se3 at the PBE level of DFT.

The structure in CIF format:
```
data_KSb2Se3
_cell_length_a 15.396
_cell_length_b 6.459
_cell_length_c 9.028
_cell_angle_alpha 90.00
_cell_angle_beta 110.23
_cell_angle_gamma 90.00
_symmetry_space_group_name_H-M 'C 1 2/c 1'
_symmetry_Int_Tables_number 15
loop_
_symmetry_equiv_pos_as_xyz
'x,y,z'
'-x,-y,-z'
'-x,y,-z+1/2'
'x,-y,z+1/2'
'x+1/2,y+1/2,z'
'-x+1/2,-y+1/2,-z'
'-x+1/2,y+1/2,-z+1/2'
'x+1/2,-y+1/2,z+1/2'
loop_
_atom_site_label
_atom_site_fract_x
_atom_site_fract_y
_atom_site_fract_z
K1 0.000 0.051 0.250
Sb1 0.189 0.418 0.875
Se1 0.000 0.459 0.750
Se2 0.173 0.175 0.629
```

Results
The calculation puts the total magnetic moment at 0.00 μB per cell. For the density of states at the Fermi level, the calculation gives 0.07 states/eV per atom. For the formation energy without anion corrections, the calculation gives -394 meV/atom. Its relative energy among the computed polymorphs is 0.0 meV per atom. The volume is 35.1 Å³/atom. For the uncorrected energy, the calculation gives -0.271 Ry/atom.

Which of these has the highest total magnetic moment? K2ZrScSb

What is the formula in the sixth record? K3SbSe3

Which of these has the highest volume? K2ZrScSb